VASP calculation (GGA-PBEsol) on a geometry-optimized La2ZnCd structure.

Calculated values
N(E_F): 4.51 states/eV/cell
Formation enthalpy at 0 K: -0.280 eV/atom
M_tot: 0.00 μB/f.u.
Distance to the lowest polymorph of the same formula: 27 meV per atom

abc: 5.345 5.345 5.345
angles: 60.00 60.00 60.00
Atoms (fractional coordinates):
La: 0.250 0.250 0.250
La: 0.750 0.750 0.750
Zn: 0.000 0.000 0.000
Cd: 0.500 0.500 0.500



VASP calculation (GGA-PBEsol) on a geometry-optimized La2ZrCd structure.

Calculated values
N(E_F): 3.82 states/eV/cell
Formation enthalpy at 0 K: -0.042 eV/atom
M_tot: 0.00 μB/f.u.

abc: 3.364 3.364 9.685
angles: 90.00 90.00 90.00
Atoms (fractional coordinates):
La: 0.000 0.000 0.248
La: 0.000 0.000 0.752
Zr: 0.500 0.500 0.500
Cd: 0.500 0.500 0.000



VASP calculation (GGA-PBEsol) on a geometry-optimized LaZr2Cd structure.

Calculated values
N(E_F): 6.49 states/eV/cell
Formation enthalpy at 0 K: 0.082 eV/atom
M_tot: 0.68 μB/f.u.

abc: 5.135 5.135 5.135
angles: 60.00 60.00 60.00
Atoms (fractional coordinates):
La: 0.000 0.000 0.000
Zr: 0.500 0.500 0.500
Zr: 0.750 0.750 0.750
Cd: 0.250 0.250 0.250



VASP calculation (GGA-PBEsol) on a geometry-optimized LaZr2Cd structure.

Calculated values
N(E_F): 4.81 states/eV/cell
Formation enthalpy at 0 K: 0.042 eV/atom
M_tot: 0.00 μB/f.u.

abc: 10.827 10.827 10.827
angles: 17.29 17.29 17.29
Atoms (fractional coordinates):
La: 0.000 0.000 0.000
Zr: 0.243 0.243 0.243
Zr: 0.501 0.501 0.501
Cd: 0.757 0.757 0.757



VASP calculation (GGA-PBEsol) on a geometry-optimized LiCd3 structure.

Calculated values
N(E_F): 1.31 states/eV/cell
Formation enthalpy at 0 K: -0.142 eV/atom
M_tot: 0.00 μB/f.u.

abc: 5.119 5.119 5.219
angles: 98.39 98.39 35.13
Atoms (fractional coordinates):
Li: 0.000 0.000 0.000
Cd: 0.251 0.251 0.758
Cd: 0.500 0.500 0.500
Cd: 0.749 0.749 0.242



VASP calculation (GGA-PBEsol) on a geometry-optimized LiCd3 structure.

Calculated values
N(E_F): 1.40 states/eV/cell
Formation enthalpy at 0 K: -0.097 eV/atom
M_tot: 0.00 μB/f.u.

abc: 9.882 9.882 9.882
angles: 17.79 17.79 17.79
Atoms (fractional coordinates):
Li: 0.000 0.000 0.000
Cd: 0.255 0.255 0.255
Cd: 0.500 0.500 0.500
Cd: 0.745 0.745 0.745



VASP calculation (GGA-PBEsol) on a geometry-optimized LiCd2 structure.

Calculated values
N(E_F): 3.65 states/eV/cell
Formation enthalpy at 0 K: -0.202 eV/atom
M_tot: 0.00 μB/f.u.

abc: 12.878 12.878 12.878
angles: 160.97 160.97 27.04
Atoms (fractional coordinates):
Li: 0.293 0.543 0.750
Li: 0.457 0.707 0.750
Li: 0.543 0.293 0.250
Li: 0.707 0.457 0.250
Cd: 0.040 0.790 0.250
Cd: 0.127 0.377 0.750
Cd: 0.210 0.960 0.250
Cd: 0.377 0.127 0.250
Cd: 0.623 0.873 0.750
Cd: 0.790 0.040 0.750
Cd: 0.873 0.623 0.250
Cd: 0.960 0.210 0.750



VASP calculation (GGA-PBEsol) on a geometry-optimized LiCd2 structure.

Calculated values
N(E_F): 7.16 states/eV/cell
Formation enthalpy at 0 K: -0.131 eV/atom
M_tot: 0.00 μB/f.u.

abc: 8.562 8.562 8.562
angles: 60.00 60.00 60.00
Atoms (fractional coordinates):
Li: 0.144 0.785 0.785
Li: 0.215 0.215 0.215
Li: 0.215 0.215 0.856
Li: 0.215 0.856 0.215
Li: 0.785 0.144 0.785
Li: 0.785 0.785 0.144
Li: 0.785 0.785 0.785
Li: 0.856 0.215 0.215
Cd: 0.000 0.000 0.000
Cd: 0.000 0.000 0.500
Cd: 0.000 0.500 0.000
Cd: 0.188 0.188 0.562
Cd: 0.188 0.562 0.188
Cd: 0.188 0.562 0.562
Cd: 0.438 0.438 0.812
Cd: 0.438 0.812 0.438
Cd: 0.438 0.812 0.812
Cd: 0.500 0.000 0.000
Cd: 0.562 0.188 0.188
Cd: 0.562 0.188 0.562
Cd: 0.562 0.562 0.188
Cd: 0.812 0.438 0.438
Cd: 0.812 0.438 0.812
Cd: 0.812 0.812 0.438



VASP calculation (GGA-PBEsol) on a geometry-optimized LiCd3 structure.

Calculated values
N(E_F): 1.34 states/eV/cell
Formation enthalpy at 0 K: -0.153 eV/atom
M_tot: 0.00 μB/f.u.

abc: 2.971 4.253 6.112
angles: 90.00 90.68 90.00
Atoms (fractional coordinates):
Li: 0.000 0.000 0.000
Cd: 0.000 0.000 0.500
Cd: 0.500 0.500 0.239
Cd: 0.500 0.500 0.761



VASP calculation (GGA-PBEsol) on a geometry-optimized Li2Cd structure.

Calculated values
N(E_F): 1.25 states/eV/cell
Formation enthalpy at 0 K: -0.197 eV/atom
M_tot: 0.00 μB/f.u.

abc: 5.286 5.286 5.286
angles: 143.32 143.32 52.85
Atoms (fractional coordinates):
Li: 0.164 0.164 0.000
Li: 0.836 0.836 0.000
Cd: 0.500 0.500 0.000



VASP calculation (GGA-PBEsol) on a geometry-optimized Li3Cd structure.

Calculated values
N(E_F): 1.80 states/eV/cell
Formation enthalpy at 0 K: -0.079 eV/atom
M_tot: 0.00 μB/f.u.

abc: 3.036 3.036 9.699
angles: 90.00 90.00 120.00
Atoms (fractional coordinates):
Li: 0.000 0.000 0.000
Li: 0.333 0.667 0.257
Li: 0.333 0.667 0.743
Cd: 0.000 0.000 0.500



VASP calculation (GGA-PBEsol) on a geometry-optimized Li3Cd structure.

Calculated values
N(E_F): 1.64 states/eV/cell
Formation enthalpy at 0 K: -0.174 eV/atom
M_tot: 0.00 μB/f.u.

abc: 5.013 5.013 5.013
angles: 130.84 130.84 72.07
Atoms (fractional coordinates):
Li: 0.000 0.000 0.000
Li: 0.250 0.750 0.500
Li: 0.750 0.250 0.500
Cd: 0.500 0.500 0.000